Computed, not measured: a relaxed Rb6MgBr8 crystal at the PBE level of DFT.

a b c (Å): 10.0982 10.0982 19.8650
angles (deg): 90.00 90.00 120.00
Space group R-3 (No. 148, hexagonal axes)
Asymmetric unit:
1 Rb 0.0227 0.4035 0.4190 (multiplicity 18)
2 Mg 0.0000 0.0000 0.5000 (multiplicity 3)
3 Br 0.0000 0.0000 0.1538 (multiplicity 6)
4 Br 0.0114 0.2295 0.5798 (multiplicity 18)

DOS(E_F): 0.00 states/eV/f.u.
energy relative to the elements, uncorrected: -1.66 eV/atom

Computed, not measured: a relaxed RbMgRuBr6 crystal at the PBE level of DFT.

a b c (Å): 6.7886 6.7886 7.8099
angles (deg): 90.00 90.00 120.00
Space group P312 (No. 149)
Asymmetric unit:
1 Rb 0.0000 0.0000 0.0000 (multiplicity 1)
2 Mg 0.6667 0.3333 0.5000 (multiplicity 1)
3 Ru 0.3333 0.6667 0.5000 (multiplicity 1)
4 Br 0.0172 0.3760 0.6882 (multiplicity 6)

DOS(E_F): 8.39 states/eV/f.u.
energy relative to the elements, uncorrected: -0.98 eV/atom

Computed, not measured: a relaxed Rb2MgSBr6 crystal at the PBE level of DFT.

a b c (Å): 8.077 8.077 10.588
angles (deg): 90.00 90.00 90.00
Space group I4/mmm (No. 139)
Asymmetric unit:
1 Rb 0.000 0.500 0.250 (multiplicity 4)
2 Mg 0.000 0.000 0.000 (multiplicity 2)
3 S 0.000 0.000 0.500 (multiplicity 2)
4 Br 0.000 0.000 0.272 (multiplicity 4)
5 Br 0.229 0.229 0.000 (multiplicity 8)

DOS(E_F): 0.00 states/eV/f.u.
energy relative to the elements, uncorrected: -0.96 eV/atom

Computed, not measured: a relaxed Rb2MgSbBr6 crystal at the PBE level of DFT.

a b c (Å): 7.885 7.885 11.998
angles (deg): 90.00 90.00 90.00
Space group I4/mmm (No. 139)
Asymmetric unit:
1 Rb 0.000 0.500 0.250 (multiplicity 4)
2 Mg 0.000 0.000 0.000 (multiplicity 2)
3 Sb 0.000 0.000 0.500 (multiplicity 2)
4 Br 0.000 0.000 0.215 (multiplicity 4)
5 Br 0.248 0.248 0.000 (multiplicity 8)

DOS(E_F): 0.00 states/eV/f.u.
energy relative to the elements, uncorrected: -1.18 eV/atom

Computed, not measured: a relaxed RbMg2ScBr8 crystal at the PBE level of DFT.

a b c (Å): 6.830 6.844 9.495
angles (deg): 76.05 76.93 75.06
Space group P-1 (No. 2)
Asymmetric unit:
1 Rb 0.000 0.000 0.000 (multiplicity 1)
2 Mg 0.450 0.444 0.219 (multiplicity 2)
3 Sc 0.000 0.000 0.500 (multiplicity 1)
4 Br 0.184 0.728 0.715 (multiplicity 2)
5 Br 0.255 0.800 0.294 (multiplicity 2)
6 Br 0.262 0.239 0.464 (multiplicity 2)
7 Br 0.350 0.317 0.019 (multiplicity 2)

DOS(E_F): 0.00 states/eV/f.u.
energy relative to the elements, uncorrected: -1.53 eV/atom

Computed, not measured: a relaxed Rb2MgSiBr6 crystal at the PBE level of DFT.

a b c (Å): 10.895 10.895 10.895
angles (deg): 90.00 90.00 90.00
Space group Fm-3m (No. 225)
Asymmetric unit:
1 Rb 0.250 0.250 0.250 (multiplicity 8)
2 Mg 0.000 0.000 0.000 (multiplicity 4)
3 Si 0.000 0.000 0.500 (multiplicity 4)
4 Br 0.000 0.000 0.248 (multiplicity 24)

DOS(E_F): 0.00 states/eV/f.u.
energy relative to the elements, uncorrected: -1.21 eV/atom

Computed, not measured: a relaxed Rb2SmMgBr6 crystal at the PBE level of DFT.

a b c (Å): 7.850 7.852 8.081
angles (deg): 119.00 119.01 90.00
Space group P-1 (No. 2)
Asymmetric unit:
1 Rb 0.250 0.249 0.000 (multiplicity 2)
2 Sm 0.000 0.500 0.500 (multiplicity 1)
3 Mg 0.500 0.000 0.500 (multiplicity 1)
4 Br 0.184 0.180 0.500 (multiplicity 2)
5 Br 0.248 0.747 0.995 (multiplicity 2)
6 Br 0.320 0.684 0.499 (multiplicity 2)

DOS(E_F): 3.67 states/eV/f.u.
energy relative to the elements, uncorrected: -1.57 eV/atom

Computed, not measured: a relaxed RbSmMgBr6 crystal at the PBE level of DFT.

a b c (Å): 7.2721 7.2721 15.3021
angles (deg): 90.00 90.00 120.00
Space group P-31c (No. 163)
Asymmetric unit:
1 Rb 0.0000 0.0000 0.0000 (multiplicity 2)
2 Sm 0.3333 0.6667 0.2500 (multiplicity 2)
3 Mg 0.3333 0.6667 0.7500 (multiplicity 2)
4 Br 0.0167 0.3828 0.6451 (multiplicity 12)

DOS(E_F): 0.00 states/eV/f.u.
energy relative to the elements, uncorrected: -1.73 eV/atom

Computed, not measured: a relaxed Rb3Mg2SnBr9 crystal at the PBE level of DFT.

a b c (Å): 7.8342 7.8342 9.6769
angles (deg): 90.00 90.00 120.00
Space group P-3m1 (No. 164)
Asymmetric unit:
1 Rb 0.0000 0.0000 0.0000 (multiplicity 1)
2 Rb 0.3333 0.6667 0.6753 (multiplicity 2)
3 Mg 0.3333 0.6667 0.1560 (multiplicity 2)
4 Sn 0.0000 0.0000 0.5000 (multiplicity 1)
5 Br 0.0000 0.5000 0.0000 (multiplicity 3)
6 Br 0.1736 0.3472 0.3196 (multiplicity 6)

DOS(E_F): 0.00 states/eV/f.u.
energy relative to the elements, uncorrected: -1.43 eV/atom

Computed, not measured: a relaxed Rb2SrMgBr6 crystal at the PBE level of DFT.

a b c (Å): 7.861 8.057 13.676
angles (deg): 90.00 124.75 90.00
Space group P2_1/c (No. 14)
Asymmetric unit:
1 Rb 0.232 0.055 0.248 (multiplicity 4)
2 Sr 0.500 0.000 0.000 (multiplicity 2)
3 Mg 0.000 0.000 0.500 (multiplicity 2)
4 Br 0.152 0.223 0.960 (multiplicity 4)
5 Br 0.240 0.694 0.962 (multiplicity 4)
6 Br 0.310 0.015 0.735 (multiplicity 4)

DOS(E_F): 0.00 states/eV/f.u.
energy relative to the elements, uncorrected: -1.78 eV/atom